# 1
This record from Alexandria via LeMat-Bulk describes a geometry-optimized KCeAu2 structure. The functional is GGA-PBE.

Output
- M_tot (μB per formula unit) = 1.1
- E above lowest polymorph (meV/atom) = 115
- total DFT energy (no corrections) (eV per atom) = -3.750
- DFT formation energy (meV/atom) = -354

Unit cell a=8.654 b=8.654 c=8.654 alpha=28.51 beta=28.51 gamma=28.51
Fractional positions:
K 0.000 0.000 0.000
Ce 0.500 0.500 0.500
Au 0.236 0.236 0.236
Au 0.764 0.764 0.764

***

# 2
This record from Alexandria via LeMat-Bulk describes a geometry-optimized KTb2CuTe4 structure. The functional is GGA-PBE.

Output
- M_tot (μB per formula unit) = 0.0
- total DFT energy (no corrections) (eV per atom) = -4.528
- formation energy from raw total energies (eV per atom) = -1.1505

Unit cell a=7.854 b=7.854 c=15.463 alpha=90.00 beta=90.00 gamma=147.54
Fractional positions:
K 0.114 0.886 0.750
K 0.886 0.114 0.250
Tb 0.365 0.635 0.566
Tb 0.365 0.635 0.934
Tb 0.635 0.365 0.066
Tb 0.635 0.365 0.434
Cu 0.159 0.841 0.250
Cu 0.841 0.159 0.750
Te 0.000 0.000 0.000
Te 0.000 0.000 0.500
Te 0.268 0.732 0.114
Te 0.268 0.732 0.386
Te 0.438 0.562 0.750
Te 0.562 0.438 0.250
Te 0.732 0.268 0.614
Te 0.732 0.268 0.886

***

# 3
This record from Alexandria via LeMat-Bulk describes a geometry-optimized ThZr3Sc2N6 structure. The functional is GGA-PBE.

Output
- M_tot (μB per formula unit) = 0.0
- total DFT energy (no corrections) (eV per atom) = -9.667
- formation energy from raw total energies (eV per atom) = -1.6932

Unit cell a=5.747 b=5.747 c=5.777 alpha=99.48 beta=99.48 gamma=120.14
Fractional positions:
Th 0.000 0.000 0.000
Zr 0.171 0.829 0.500
Zr 0.500 0.500 0.500
Zr 0.829 0.171 0.500
Sc 0.333 0.667 0.000
Sc 0.667 0.333 0.000
N 0.084 0.433 0.257
N 0.263 0.263 0.746
N 0.433 0.084 0.257
N 0.567 0.916 0.743
N 0.737 0.737 0.254
N 0.916 0.567 0.743

***

# 4
This record from Alexandria via LeMat-Bulk describes a geometry-optimized Li2CaLa2Pb2 structure. The functional is GGA-PBE.

Output
- M_tot (μB per formula unit) = 0.0
- total DFT energy (no corrections) (eV per atom) = -3.692
- DFT formation energy (meV/atom) = -392

Unit cell a=9.907 b=9.907 c=9.907 alpha=28.68 beta=28.68 gamma=28.68
Fractional positions:
Li 0.098 0.098 0.098
Li 0.902 0.902 0.902
Ca 0.500 0.500 0.500
La 0.367 0.367 0.367
La 0.633 0.633 0.633
Pb 0.237 0.237 0.237
Pb 0.763 0.763 0.763

***

Question: Look up the M_tot of the third one.
Answer: 0.0 μB per formula unit